Compound: GdScCu2
Source: Alexandria via LeMat-Bulk
Functional: GGA-PBE
Structure: relaxed

The calculation puts the calculated formation energy at -208 meV per atom. The space group is Fm-3m, No. 225. Its offset from the most stable computed form is 29 meV per atom.

Cell lengths 4.798, 4.798, 4.798 Å; angles 60.00, 60.00, 60.00 degrees
Fractional coordinates of all 4 atoms:
Gd: 0.000 0.000 0.000
Sc: 0.500 0.500 0.500
Cu: 0.250 0.250 0.250
Cu: 0.750 0.750 0.750


Compound: KAs2IrRu
Source: Alexandria via LeMat-Bulk
Functional: GGA-PBE
Structure: relaxed

The calculation puts the calculated formation energy at -478 meV per atom. The space group is I-4m2, No. 119.

Cell lengths 7.277, 7.277, 7.277 Å; angles 147.38, 147.38, 46.81 degrees
Fractional coordinates of all 5 atoms:
K: 0.000 0.000 0.000
As: 0.351 0.351 0.000
As: 0.649 0.649 0.000
Ir: 0.750 0.250 0.500
Ru: 0.250 0.750 0.500


Compound: Ce6YN8
Source: Alexandria via LeMat-Bulk
Functional: GGA-PBE
Structure: relaxed

The space group is Fm-3m, No. 225. The calculation puts the formation energy from raw total energies at -1.29 eV per atom.

Cell lengths 7.071, 7.071, 7.071 Å; angles 60.00, 60.00, 60.00 degrees
Fractional coordinates of all 15 atoms:
Ce: 0.000 0.000 0.500
Ce: 0.000 0.500 0.000
Ce: 0.000 0.500 0.500
Ce: 0.500 0.000 0.000
Ce: 0.500 0.000 0.500
Ce: 0.500 0.500 0.000
Y: 0.000 0.000 0.000
N: 0.235 0.235 0.765
N: 0.235 0.765 0.235
N: 0.235 0.765 0.765
N: 0.250 0.250 0.250
N: 0.750 0.750 0.750
N: 0.765 0.235 0.235
N: 0.765 0.235 0.765
N: 0.765 0.765 0.235


Number 1: magnetic moment 7.2 μB per cell. Number 2: magnetic moment 0.0 μB per cell. Number 3: magnetic moment 2.1 μB per cell.